A plane-wave DFT calculation with GGA-PBE was carried out for a relaxed MgPaOsPt crystal.

## Properties
VASP energy (eV/atom): -7.53
Calculated volume (Å³/cell): 76
Space-group type: F-43m
Fermi-level density of states (states/eV/cell): 3.5
M_tot (μB per formula unit): 0.0

Structure (POSCAR):
```
MgPaOsPt
1.0
4.750 0.000 0.000
2.375 4.113 0.000
2.375 1.371 3.878
Mg Pa Os Pt
1 1 1 1
Direct
0.750 0.750 0.750 Mg
0.250 0.250 0.250 Pa
0.000 0.000 0.000 Os
0.500 0.500 0.500 Pt
```